Entry i
Density functional theory data (PBEsol) for crystalline Sc2BeSi at its relaxed geometry.

```
Sc2BeSi
1.0
3.680 0.000 0.000
0.000 3.795 0.000
0.000 -1.897 4.918
Si Sc Be
1 2 1
direct
0.000 0.815 0.630 Si
0.500 0.392 0.783 Sc
0.000 0.105 0.211 Sc
0.500 0.683 0.365 Be
```

Results
- total moment (μB/f.u.) = 0.00

=====

Entry ii
Density functional theory data (PBEsol) for crystalline Sc2BeSi at its relaxed geometry.

```
Sc2BeSi
1.0
-0.349 2.427 -1.748
-2.740 -0.967 -0.789
-2.914 3.648 5.646
Sc Si Be
2 1 1
direct
0.000 0.000 0.052 Sc
0.500 0.500 0.706 Sc
0.000 0.000 0.445 Si
0.500 0.500 0.297 Be
```

Results
- total moment (μB/f.u.) = 0.00

=====

Which of them is the most stable, and which is the least stable? entry i and entry ii, in that order.

=====

Entry i
Density functional theory data (PBEsol) for crystalline ZrCuNi at its relaxed geometry.

```
ZrCuNi
1.0
4.198 0.000 0.000
2.099 3.636 0.000
2.099 1.212 3.428
Cu Zr Ni
1 1 1
direct
0.000 0.000 0.000 Cu
0.250 0.250 0.250 Zr
0.500 0.500 0.500 Ni
```

Results
- total moment (μB/f.u.) = 0.00

=====

Entry ii
Density functional theory data (PBEsol) for crystalline ZrCuNi at its relaxed geometry.

```
ZrCuNi
1.0
-2.784 0.742 -1.555
-1.282 -2.866 0.928
0.614 2.787 3.678
Ni Cu Zr
1 1 1
direct
0.666 0.666 0.332 Ni
0.005 0.005 0.011 Cu
0.329 0.329 0.658 Zr
```

Results
- total moment (μB/f.u.) = 0.00

=====

Which of them is the most stable, and which is the least stable? entry ii and entry i, in that order.

=====

Entry i
Density functional theory data (PBEsol) for crystalline Ba2SrCa at its relaxed geometry.

```
Ba2SrCa
1.0
4.710 0.000 0.000
0.000 6.657 0.000
0.000 0.000 6.657
Ca Ba Sr
1 2 1
direct
0.500 0.500 0.500 Ca
0.000 0.500 0.000 Ba
0.000 0.000 0.500 Ba
0.500 0.000 0.000 Sr
```

Results
- total moment (μB/f.u.) = 0.00

=====

Entry ii
Density functional theory data (PBEsol) for crystalline Ba2SrCa at its relaxed geometry.

```
Ba2SrCa
1.0
-4.354 0.077 1.932
2.287 -3.143 5.279
1.362 5.760 2.840
Ca Ba Sr
1 2 1
direct
0.500 0.000 0.500 Ca
0.000 0.000 0.000 Ba
0.500 0.500 0.000 Ba
0.000 0.500 0.500 Sr
```

Results
- total moment (μB/f.u.) = 0.00

=====

Which of them is the most stable, and which is the least stable? entry ii and entry i, in that order.

=====

Entry i
Density functional theory data (PBEsol) for crystalline MoPtRh2 at its relaxed geometry.

```
MoPtRh2
1.0
-2.084 -1.226 1.221
1.586 -3.410 -0.718
2.663 0.232 4.779
Pt Rh Mo
1 2 1
direct
0.500 0.500 0.500 Pt
0.000 0.000 0.244 Rh
0.000 0.000 0.756 Rh
0.500 0.500 0.000 Mo
```

Results
- total moment (μB/f.u.) = 0.00

=====

Entry ii
Density functional theory data (PBEsol) for crystalline MoPtRh2 at its relaxed geometry.

```
MoPtRh2
1.0
-1.423 1.779 -1.445
-1.765 0.087 4.364
3.471 3.184 0.501
Pt Rh Mo
1 2 1
direct
0.500 0.000 0.000 Pt
0.253 0.506 0.256 Rh
0.747 0.494 0.744 Rh
0.000 0.000 0.500 Mo
```

Results
- total moment (μB/f.u.) = 0.00

=====

Which of them is the most stable, and which is the least stable? entry i and entry ii, in that order.